VASP calculation (GGA-PBE) on a relaxed structure of AlMoIr2.

a = 4.7412 Å, b = 4.7412 Å, c = 4.7775 Å
α = 79.56°, β = 79.56°, γ = 34.03°
With the nearest neighbours (Å) after each atom.
Fractional coordinates of all 4 atoms:
Ir  0.9965  0.9965  0.0005  3 Al 2.71-2.78, 3 Mo 2.73-2.76, 6 Ir 2.76-2.77
Ir  0.5035  0.5035  0.4995  3 Al 2.71-2.78, 3 Mo 2.73-2.76, 6 Ir 2.76-2.77
Mo  0.7500  0.7500  0.7500  6 Ir 2.73-2.76, 4 Al 2.76, 2 Mo 2.77
Al  0.2500  0.2500  0.2500  6 Ir 2.71-2.78, 4 Mo 2.76, 2 Al 2.77

Results
**Space group**: No. 12
**E above lowest polymorph**: 307.0 meV/atom
**Density**: 14.28 g/cm³
**Raw total energy**: -8.380 eV/atom